# 1
Crystalline LiCrAs2 at its relaxed geometry, computed with PBE-GGA.

Summary:
Space group: P4mm, No. 99
Total magnetization in μB per cell: 2.46
DFT formation energy in meV/atom: -88
Calculated volume in Å³/atom: 15.9
Final energy in eV per atom: -5.2973
Polymorph energy (0 for the lowest one) in eV per formula unit: 0.71

Cell lengths 3.5335, 3.5335, 5.0901 Å; angles 90.00, 90.00, 90.00 degrees
With the nearest neighbours (Å) after each atom.
Sites, in units of the cell vectors:
As 0.5000 0.5000 0.3113  2 Li 2.47-2.62, 4 Cr 2.60
Li 0.5000 0.5000 0.7963  6 As 2.47-2.62
Cr 0.0000 0.0000 0.4504  6 As 2.50-2.60
As 0.0000 0.0000 0.9420  2 Cr 2.50-2.59, 4 Li 2.61

# 2
Crystalline LiCr3As at its relaxed geometry, computed with PBE-GGA.

Summary:
Space group: Pm-3m, No. 221
Total magnetization in μB per cell: 12.56
DFT formation energy in meV/atom: 801
Calculated volume in Å³/atom: 22.9
Final energy in eV per atom: -6.2854
Polymorph energy (0 for the lowest one) in eV per formula unit: 0.00

Cell lengths 4.8562, 4.8562, 4.8562 Å; angles 90.00, 90.00, 90.00 degrees
With the nearest neighbours (Å) after each atom.
Sites, in units of the cell vectors:
Cr 0.0000 0.5000 0.0000  2 As 2.43
As 0.0000 0.0000 0.0000  6 Cr 2.43
Cr 0.5000 0.0000 0.0000  2 As 2.43
Cr 0.0000 0.0000 0.5000  2 As 2.43
Li 0.5000 0.5000 0.5000  12 Cr 3.43

# 3
Crystalline Li2CrAs at its relaxed geometry, computed with PBE-GGA.

Summary:
Space group: Cmm2, No. 35
Total magnetization in μB per cell: 0.00
DFT formation energy in meV/atom: 161
Calculated volume in Å³/atom: 16.0
Final energy in eV per atom: -4.3640

Cell lengths 2.8052, 2.8052, 8.4784 Å; angles 90.00, 90.00, 106.92 degrees
With the nearest neighbours (Å) after each atom.
Sites, in units of the cell vectors:
Cr 0.5000 0.5000 0.7232  2 As 2.38
Li 0.0000 0.0000 0.9743  2 Cr 2.71, 4 Li 2.81
As 0.0000 0.0000 0.5239  2 Cr 2.38
Li 0.5000 0.5000 0.2786  2 As 2.67, 4 Li 2.81

# 4
Crystalline LiCr4As at its relaxed geometry, computed with PBE-GGA.

Summary:
Space group: F-43m, No. 216
Total magnetization in μB per cell: 0.00
DFT formation energy in meV/atom: 417
Calculated volume in Å³/atom: 12.9
Final energy in eV per atom: -7.0924

Cell lengths 4.7799, 4.7799, 4.7799 Å; angles 60.00, 60.00, 60.00 degrees
With the nearest neighbours (Å) after each atom.
Sites, in units of the cell vectors:
Cr 0.3771 0.3771 0.3771  6 Cr 2.35-2.43
Cr 0.3771 0.3771 0.8688  6 Cr 2.35-2.43
Cr 0.8688 0.3771 0.3771  6 Cr 2.35-2.43
As 0.0000 0.0000 0.0000  12 Cr 2.81, 4 Li 2.93
Cr 0.3771 0.8688 0.3771  6 Cr 2.35-2.43
Li 0.7500 0.7500 0.7500  12 Cr 2.80, 4 As 2.93

Q: Which value of calculated volume does entry 4 give?
A: 12.9 Å³/atom